(1)
Compound: Li2TlCd
Source: OQMD via LeMat-Bulk
Functional: PBE
Structure: relaxed

Its crystal system is orthorhombic. The value obtained for the total DFT energy (no corrections) is -2.0170 eV/atom.

It has space group Cmmm (No. 65), with a = 6.6834 Å, b = 6.7575 Å, c = 3.3832 Å, α = 90.00°, β = 90.00° and γ = 90.00°. Symmetry generates all atoms from Li at (0.2500, 0.2500, 0.0000), Tl at (0.0000, 0.0000, 0.5000) and Cd at (0.0000, 0.5000, 0.5000).



(2)
Compound: Li2TlCd
Source: OQMD via LeMat-Bulk
Functional: PBE
Structure: relaxed

Its crystal system is hexagonal. The value obtained for the total DFT energy (no corrections) is -1.9251 eV/atom.

It has space group P6_3/mmc (No. 194), with a = 4.7044 Å, b = 4.7044 Å, c = 8.3340 Å, α = 90.00°, β = 90.00° and γ = 120.00°. Symmetry generates all atoms from Li at (0.3333, 0.6667, 0.0864), Tl at (0.0000, 0.0000, 0.0000) and Cd at (0.3333, 0.6667, 0.7500).